No. 1
The following is a DFT calculation (PBE) of a geometry-optimized Mn2CdCuOs structure.

abc: 4.850 4.850 4.949
angles: 90.00 90.00 90.00
Fractional coordinates of all 5 atoms:
Mn 0.000 0.500 0.000
Mn 0.500 0.000 0.000
Cd 0.000 0.000 0.000
Cu 0.500 0.500 0.500
Os 0.000 0.000 0.500

Properties
Magnetization, μB/f.u.: 8.1
Space-group type: No. 123
Energy of formation, eV/atom: 2.041
E_tot, eV per atom: -4.875
Density, g/cm³: 6.79



No. 2
The following is a DFT calculation (PBE) of a geometry-optimized Mn2CdCuP structure.

abc: 4.419 4.419 4.326
angles: 90.00 90.00 90.00
Fractional coordinates of all 5 atoms:
Mn 0.000 0.500 0.000
Mn 0.500 0.000 0.000
Cd 0.000 0.000 0.500
Cu 0.500 0.500 0.500
P 0.500 0.500 0.000

Properties
Magnetization, μB/f.u.: 6.1
Space-group type: No. 123
Energy of formation, eV/atom: 0.157
E_tot, eV per atom: -5.595
Density, g/cm³: 6.23



No. 3
The following is a DFT calculation (PBE) of a geometry-optimized MnCd2Cu2Pt5 structure.

abc: 9.072 9.072 3.973
angles: 90.00 90.00 90.00
Fractional coordinates of all 20 atoms:
Mn 0.000 0.000 0.000
Mn 0.500 0.500 0.000
Cd 0.173 0.327 0.000
Cd 0.327 0.827 0.000
Cd 0.673 0.173 0.000
Cd 0.827 0.673 0.000
Cu 0.124 0.624 0.000
Cu 0.376 0.124 0.000
Cu 0.624 0.876 0.000
Cu 0.876 0.376 0.000
Pt 0.000 0.500 0.500
Pt 0.078 0.801 0.500
Pt 0.199 0.078 0.500
Pt 0.301 0.578 0.500
Pt 0.422 0.301 0.500
Pt 0.500 0.000 0.500
Pt 0.578 0.699 0.500
Pt 0.699 0.422 0.500
Pt 0.801 0.922 0.500
Pt 0.922 0.199 0.500

Properties
Magnetization, μB/f.u.: 4.8
Space-group type: No. 127
Energy of formation, eV/atom: -0.190
E_tot, eV per atom: -5.129
Density, g/cm³: 14.04



No. 4
The following is a DFT calculation (PBE) of a geometry-optimized MnCdCu2Pt structure.

abc: 4.517 4.517 4.750
angles: 90.00 90.00 90.00
Fractional coordinates of all 5 atoms:
Mn 0.000 0.000 0.000
Cd 0.500 0.500 0.500
Cu 0.000 0.500 0.000
Cu 0.500 0.000 0.000
Pt 0.000 0.000 0.500

Properties
Magnetization, μB/f.u.: 4.1
Space-group type: No. 123
Energy of formation, eV/atom: 0.749
E_tot, eV per atom: -4.115
Density, g/cm³: 8.39